## one
## KCrI2Br (GGA-PBE)

Data for an optimized crystal structure of KCrI2Br.

a b c (Å): 5.752 5.752 5.215
angles (deg): 90.00 90.00 90.00
Fractional coordinates of all 5 atoms:
I: 0.000 0.500 0.000
I: 0.500 0.000 0.000
Cr: 0.000 0.000 0.000
K: 0.500 0.500 0.500
Br: 0.000 0.000 0.500

DOS at the Fermi energy (states/eV/f.u.): 1.20
Crystal system: tetragonal
Space group: No. 123



## two
## KCrI2Br (GGA-PBE)

Data for an optimized crystal structure of KCrI2Br.

a b c (Å): 6.452 5.788 6.452
angles (deg): 90.00 90.00 90.00
Fractional coordinates of all 5 atoms:
I: 0.000 0.000 0.500
I: 0.500 0.000 0.000
Cr: 0.500 0.500 0.500
K: 0.000 0.500 0.000
Br: 0.000 0.000 0.000

DOS at the Fermi energy (states/eV/f.u.): 5.87
Crystal system: tetragonal
Space group: No. 123



Which is most stable, and by how much? one, by 1067 meV/atom.